No. 1
The following is a DFT calculation (PBE-GGA) of a relaxed structure of Cr2RuW.

Results
- Calculated total energy: -40.9 eV for the cell shown
- D(E_F): 4.1 states/eV/cell
- Total magnetic moment: 1.60 μB per formula unit
- Energy relative to the elements: 13.7 kJ per mole of atoms

Lattice parameters (Å, degrees): 3.0299 4.2582 4.2903 90.00 90.00 90.00
Space group Pmmm (No. 47)
Inequivalent atoms, fractional coordinates:
Cr 0.0000 0.0000 0.0000 [1 per cell]
Cr 0.5000 0.0000 0.5000 [1 per cell]
Ru 0.0000 0.5000 0.5000 [1 per cell]
W 0.5000 0.5000 0.0000 [1 per cell]

---

No. 2
The following is a DFT calculation (PBE-GGA) of a relaxed structure of BMo3P.

Results
- Calculated total energy: -42.5 eV for the cell shown
- D(E_F): 6.0 states/eV/cell
- Total magnetic moment: 0.00 μB per formula unit
- Energy relative to the elements: 39.6 kJ per mole of atoms

Lattice parameters (Å, degrees): 4.1542 4.1542 4.1542 90.00 90.00 90.00
Space group Pm-3m (No. 221)
Inequivalent atoms, fractional coordinates:
B 0.0000 0.0000 0.0000 [1 per cell]
Mo 0.0000 0.0000 0.5000 [3 per cell]
P 0.5000 0.5000 0.5000 [1 per cell]

---

No. 3
The following is a DFT calculation (PBE-GGA) of a relaxed structure of Zr2Ti4In3.

Results
- Calculated total energy: -116.0 eV for the cell shown
- D(E_F): 22.2 states/eV/cell
- Total magnetic moment: 0.00 μB per formula unit
- Energy relative to the elements: -11.7 kJ per mole of atoms

Lattice parameters (Å, degrees): 10.0834 4.2289 9.2473 90.00 113.73 90.00
Space group C2/m (No. 12)
Inequivalent atoms, fractional coordinates:
Zr 0.1721 0.0000 0.2268 [4 per cell]
Ti 0.0028 0.5000 0.6777 [4 per cell]
Ti 0.1703 0.0000 0.8955 [4 per cell]
In 0.0000 0.5000 0.0000 [2 per cell]
In 0.1555 0.0000 0.5549 [4 per cell]